Entry from Alexandria via LeMat-Bulk: a relaxed LiHg2Pb crystal (PBE).

Values from the calculation:
V = 96.7 Å³/f.u.
formation energy from the elements = -0.08 eV per atom
space group = No. 216
density = 10570 kg/m³
VASP energy = -26.25 eV per cell
total magnetization = 0.00 μB per formula unit

Unit cell a=7.285 b=7.285 c=7.285 alpha=90.00 beta=90.00 gamma=90.00
Sites, in units of the cell vectors:
Li  0.000  0.000  0.000
Li  0.000  0.500  0.500
Li  0.500  0.000  0.500
Li  0.500  0.500  0.000
Hg  0.000  0.000  0.500
Hg  0.000  0.500  0.000
Hg  0.250  0.250  0.250
Hg  0.250  0.750  0.750
Hg  0.500  0.000  0.000
Hg  0.500  0.500  0.500
Hg  0.750  0.250  0.750
Hg  0.750  0.750  0.250
Pb  0.250  0.250  0.750
Pb  0.250  0.750  0.250
Pb  0.750  0.250  0.250
Pb  0.750  0.750  0.750